# PBE-GGA BaTc2SbAs, optimized geometry
# D(E_F) = 1.216 states/eV/atom
# raw total energy = -5.103 eV/atom
data_BaTc2SbAs
_chemical_formula_sum 'Ba1 Tc2 Sb1 As1'
_cell_length_a 4.999
_cell_length_b 4.999
_cell_length_c 6.479
_cell_angle_alpha 90.00
_cell_angle_beta 90.00
_cell_angle_gamma 90.00
_space_group_name_H-M_alt 'P 4/m m m'
_space_group_IT_number 123
_space_group_name_Hall '-P 4 2'
loop_
_atom_site_label
_atom_site_type_symbol
_atom_site_fract_x
_atom_site_fract_y
_atom_site_fract_z
Ba1 Ba 0.000 0.000 0.000
Tc1 Tc 0.000 0.500 0.500
Sb1 Sb 0.000 0.000 0.500
As1 As 0.500 0.500 0.000